*A*
{
  "formula": "HfNiAgB",
  "functional": "PBE-GGA",
  "state": "relaxed",
  "sg": "F-43m",
  "volume_a3_per_fu": 55,
  "cell": [[6.034, 0.000, 0.000], [0.000, 6.034, 0.000], [0.000, 0.000, 6.034]],
  "species": ["Hf", "Hf", "Hf", "Hf", "Ni", "Ni", "Ni", "Ni", "Ag", "Ag", "Ag", "Ag", "B", "B", "B", "B"],
  "frac_coords": [[0.000, 0.000, 0.000], [0.000, 0.500, 0.500], [0.500, 0.000, 0.500], [0.500, 0.500, 0.000], [0.250, 0.250, 0.750], [0.250, 0.750, 0.250], [0.750, 0.250, 0.250], [0.750, 0.750, 0.750], [0.000, 0.000, 0.500], [0.000, 0.500, 0.000], [0.500, 0.000, 0.000], [0.500, 0.500, 0.500], [0.250, 0.250, 0.250], [0.250, 0.750, 0.750], [0.750, 0.250, 0.750], [0.750, 0.750, 0.250]]
}

=====

*B*
{
  "formula": "HfNiAgB",
  "functional": "PBE-GGA",
  "state": "relaxed",
  "sg": "F-43m",
  "volume_a3_per_fu": 56,
  "cell": [[6.073, 0.000, 0.000], [0.000, 6.073, 0.000], [0.000, 0.000, 6.073]],
  "species": ["Hf", "Hf", "Hf", "Hf", "Ni", "Ni", "Ni", "Ni", "Ag", "Ag", "Ag", "Ag", "B", "B", "B", "B"],
  "frac_coords": [[0.000, 0.000, 0.000], [0.000, 0.500, 0.500], [0.500, 0.000, 0.500], [0.500, 0.500, 0.000], [0.000, 0.000, 0.500], [0.000, 0.500, 0.000], [0.500, 0.000, 0.000], [0.500, 0.500, 0.500], [0.250, 0.250, 0.750], [0.250, 0.750, 0.250], [0.750, 0.250, 0.250], [0.750, 0.750, 0.750], [0.250, 0.250, 0.250], [0.250, 0.750, 0.750], [0.750, 0.250, 0.750], [0.750, 0.750, 0.250]]
}

=====

Result of the stability comparison: *A* is the most stable of them.